The following is a GGA-PBE calculation of KO after structural relaxation, from the Alexandria database.

Summary:
total DFT energy (no corrections): -32.68 eV per cell
formation energy (no corrections): -1.057 eV per atom

a = 4.915 Å, b = 4.915 Å, c = 6.548 Å
α = 90.00°, β = 90.00°, γ = 92.30°
Positions (direct):
K1 0.090 0.410 0.250
K2 0.410 0.090 0.750
K3 0.590 0.910 0.250
K4 0.910 0.590 0.750
O1 0.086 0.914 0.430
O2 0.414 0.586 0.930
O3 0.586 0.414 0.070
O4 0.914 0.086 0.570